# TaNi2Ir

Crystalline TaNi2Ir at its relaxed geometry (GGA-PBEsol, the Alexandria database).

```
4
Lattice="3.711 0.000 0.000 0.000 3.711 0.000 0.000 0.000 3.755" Properties=species:S:1:pos:R:3 pbc="T T T"
Ta 0.000 0.000 0.000
Ni 0.000 1.856 1.877
Ni 1.856 0.000 1.877
Ir 1.856 1.856 0.000
```

The calculation puts the energy of formation from the pure elements at -0.473 eV per atom. As for the space group: P4/mmm.